Sr2RhCl: optimized geometry, GGA-PBE.

For the energy relative to the elements, uncorrected, the calculation gives -76 kJ/mol of atoms. The value obtained for the energy above the most stable polymorph in this dataset is 192 meV/atom. Its total magnetization is 0.0 μB/f.u. As for the calculated density: 5.074 Mg/m³.

The space group is Fm-3m (No. 225) and the conventional cell measures 7.432, 7.432 and 7.432 Å, with angles of 90.00, 90.00 and 90.00 degrees. The inequivalent atoms are Sr at (0.250, 0.250, 0.250), Rh at (0.000, 0.000, 0.000) and Cl at (0.000, 0.000, 0.500).


LaTaInSb2: optimized geometry, GGA-PBE.

For the energy relative to the elements, uncorrected, the calculation gives 77 kJ/mol of atoms. Its total magnetization is 2.4 μB/f.u. As for the calculated density: 6.947 Mg/m³.

The space group is P4/mmm (No. 123) and the conventional cell measures 5.571, 5.571 and 5.223 Å, with angles of 90.00, 90.00 and 90.00 degrees. The inequivalent atoms are La at (0.000, 0.000, 0.000), Ta at (0.500, 0.500, 0.000), In at (0.500, 0.500, 0.500) and Sb at (0.000, 0.500, 0.500).


SrLa2TmS4: optimized geometry, GGA-PBE.

For the energy relative to the elements, uncorrected, the calculation gives -198 kJ/mol of atoms. Its total magnetization is 0.0 μB/f.u. As for the calculated density: 5.645 Mg/m³.

The space group is P2/m (No. 10) and the conventional cell measures 7.091, 4.065 and 7.149 Å, with angles of 90.00, 108.92 and 90.00 degrees. The inequivalent atoms are Sr at (0.000, 0.000, 0.000), La at (0.000, 0.500, 0.500), La at (0.500, 0.000, 0.500), Tm at (0.500, 0.500, 0.000), S at (0.261, 0.500, 0.241) and S at (0.269, 0.000, 0.769).


MgNiRu: optimized geometry, GGA-PBE.

The value obtained for the energy above the most stable polymorph in this dataset is 68 meV/atom. Its total magnetization is 0.0 μB/f.u. For the formation energy from the elements, the calculation gives 0.023 eV per atom. As for the calculated density: 7.172 Mg/m³.

The space group is Pnma (No. 62) and the conventional cell measures 6.981, 2.712 and 9.004 Å, with angles of 90.00, 90.00 and 90.00 degrees. The inequivalent atoms are Mg at (0.169, 0.250, 0.087), Ni at (0.131, 0.250, 0.795) and Ru at (0.071, 0.250, 0.390).


Ta2PN: optimized geometry, GGA-PBE.

For the energy relative to the elements, uncorrected, the calculation gives -17 kJ/mol of atoms. The value obtained for the energy above the most stable polymorph in this dataset is 201 meV/atom. Its total magnetization is 0.0 μB/f.u. As for the calculated density: 12.943 Mg/m³.

The space group is Fm-3m (No. 225) and the conventional cell measures 5.933, 5.933 and 5.933 Å, with angles of 90.00, 90.00 and 90.00 degrees. The inequivalent atoms are Ta at (0.250, 0.250, 0.250), P at (0.000, 0.000, 0.000) and N at (0.000, 0.000, 0.500).


Pr5ErHg4: optimized geometry, GGA-PBE.

Its total magnetization is 1.5 μB/f.u. For the formation energy from the elements, the calculation gives -0.360 eV per atom. As for the calculated density: 9.290 Mg/m³.

The space group is P4/mmm (No. 123) and the conventional cell measures 3.832, 3.832 and 20.383 Å, with angles of 90.00, 90.00 and 90.00 degrees. The inequivalent atoms are Pr at (0.000, 0.000, 0.000), Pr at (0.000, 0.000, 0.191), Pr at (0.000, 0.000, 0.383), Er at (0.500, 0.500, 0.500), Hg at (0.500, 0.500, 0.096) and Hg at (0.500, 0.500, 0.290).


Ba2CePmO6: optimized geometry, GGA-PBE.

For the energy relative to the elements, uncorrected, the calculation gives -280 kJ/mol of atoms. Its total magnetization is 1.1 μB/f.u. As for the calculated density: 6.103 Mg/m³.

The space group is P2_1/c (No. 14) and the conventional cell measures 6.310, 6.336 and 10.921 Å, with angles of 90.00, 125.18 and 90.00 degrees. The inequivalent atoms are Ba at (0.241, 0.028, 0.250), Ce at (0.000, 0.000, 0.500), Pm at (0.500, 0.000, 0.000), O at (0.168, 0.225, 0.955), O at (0.231, 0.714, 0.956) and O at (0.325, 0.022, 0.744).


Cs2UI4Br2: optimized geometry, GGA-PBE.

For the energy relative to the elements, uncorrected, the calculation gives -128 kJ/mol of atoms. Its total magnetization is 2.0 μB/f.u. As for the calculated density: 4.554 Mg/m³.

The space group is C2/m (No. 12) and the conventional cell measures 14.130, 8.577 and 7.092 Å, with angles of 90.00, 96.32 and 90.00 degrees. The inequivalent atoms are Cs at (0.162, 0.000, 0.272), U at (0.000, 0.500, 0.000), I at (0.095, 0.248, 0.786) and Br at (0.153, 0.500, 0.276).


> Which of these has the highest calculated density?

Ta2PN


Repeat the fifth record exactly.
Ta2PN: optimized geometry, GGA-PBE.

For the energy relative to the elements, uncorrected, the calculation gives -17 kJ/mol of atoms. The value obtained for the energy above the most stable polymorph in this dataset is 201 meV/atom. Its total magnetization is 0.0 μB/f.u. As for the calculated density: 12.943 Mg/m³.

The space group is Fm-3m (No. 225) and the conventional cell measures 5.933, 5.933 and 5.933 Å, with angles of 90.00, 90.00 and 90.00 degrees. The inequivalent atoms are Ta at (0.250, 0.250, 0.250), P at (0.000, 0.000, 0.000) and N at (0.000, 0.000, 0.500).


> Look up the calculated density of the second one.

6.947 Mg/m³